{
  "formula": "ZnSiOs2",
  "functional": "PBE-GGA",
  "state": "optimized geometry",
  "spacegroup": "R-3m (166)",
  "total_magnetization_mub_per_fu": 0.0,
  "formation_energy_uncorrected_mev_per_atom": 27,
  "vol_a3_per_cell": 56.00,
  "cell": [[-3.484, 7.688, -0.800], [-5.223, 6.226, -2.414], [-5.632, 6.327, 0.341]],
  "species": ["Zn", "Os", "Os", "Si"],
  "fractional_positions": [[0.750, 0.750, 0.750], [0.508, 0.508, 0.508], [0.992, 0.992, 0.992], [0.250, 0.250, 0.250]]
}